{"formula": "K3NpV2O8", "functional": "GGA+U", "state": "relaxed", "vol_a3_per_atom": 17.3, "n_ef_per_ev_cell": 6.49, "e_tot_ry_per_atom": -0.532, "spacegroup": "P-3m1 (164)", "magnetic_moment_mub_per_fu": 4.0, "rho_g_cm3": 4.010, "lattice_angstrom": [[-2.882, 4.424, 2.878], [-3.066, -4.749, -2.052], [1.132, -3.635, 6.721]], "species": ["Np", "O", "O", "V", "O", "O", "O", "K", "K", "K", "O", "O", "O", "V"], "fractional_positions": [[0.000, 0.000, 0.500], [0.828, 0.657, 0.671], [0.172, 0.343, 0.329], [0.333, 0.667, 0.242], [0.343, 0.172, 0.671], [0.657, 0.828, 0.329], [0.172, 0.828, 0.329], [0.333, 0.667, 0.691], [0.000, 0.000, 0.000], [0.667, 0.333, 0.309], [0.667, 0.333, 0.976], [0.333, 0.667, 0.024], [0.828, 0.172, 0.671], [0.667, 0.333, 0.758]]}

{"formula": "KNp2VO8", "functional": "GGA+U", "state": "relaxed", "vol_a3_per_atom": 14.6, "n_ef_per_ev_cell": 3.15, "e_tot_ry_per_atom": -0.632, "spacegroup": "P-1 (2)", "magnetic_moment_mub_per_fu": 4.0, "rho_g_cm3": 6.571, "lattice_angstrom": [[-2.326, -4.396, 0.357], [0.693, -0.380, 4.913], [-6.202, 3.120, 1.361]], "species": ["Np", "Np", "O", "O", "O", "K", "O", "O", "O", "O", "V", "O"], "fractional_positions": [[0.489, 0.489, 0.760], [0.511, 0.511, 0.240], [0.789, 0.207, 0.203], [0.690, 0.692, 0.012], [0.659, 0.663, 0.539], [0.000, 0.000, 0.500], [0.205, 0.787, 0.203], [0.341, 0.337, 0.461], [0.310, 0.308, 0.988], [0.211, 0.793, 0.797], [0.000, 0.000, 0.000], [0.795, 0.213, 0.797]]}